# 1
VASP calculation (GGA-PBE) on a relaxed CaYSn3 crystal.

Cell: 5.718 5.718 5.718 Å, 90.00 90.00 90.00°
Fractional positions:
Y (0.000, 0.000, 0.000)
Ca (0.500, 0.500, 0.500)
Sn (0.000, 0.500, 0.000)
Sn (0.000, 0.000, 0.500)
Sn (0.500, 0.000, 0.000)

Summary:
As for the symmetry: Pm-3m. For the energy relative to the elements, the calculation gives 0.06 eV/atom. As for the density of states at the Fermi level: 0.88 states/eV/atom. The value obtained for the relative energy among the computed polymorphs is 0.000 eV/atom.


# 2
VASP calculation (GGA-PBE) on a relaxed Fe5Si4 crystal.

Cell: 7.032 7.032 4.731 Å, 90.00 90.00 120.00°
Fractional positions:
Si (0.000, 0.000, 0.000)
Si (0.000, 0.000, 0.500)
Si (0.000, 0.389, 0.250)
Si (0.611, 0.611, 0.250)
Si (0.389, 0.000, 0.250)
Si (0.000, 0.611, 0.750)
Si (0.389, 0.389, 0.750)
Si (0.611, 0.000, 0.750)
Fe (0.000, 0.718, 0.250)
Fe (0.282, 0.282, 0.250)
Fe (0.718, 0.000, 0.250)
Fe (0.000, 0.282, 0.750)
Fe (0.718, 0.718, 0.750)
Fe (0.282, 0.000, 0.750)
Fe (0.667, 0.333, 0.000)
Fe (0.333, 0.667, 0.500)
Fe (0.333, 0.667, 0.000)
Fe (0.667, 0.333, 0.500)

Summary:
As for the symmetry: P6_3/mcm. Its uncorrected formation energy is -0.281 eV/atom. As for the density of states at the Fermi level: 0.91 states/eV/atom. The value obtained for the relative energy among the computed polymorphs is 0.000 eV/atom.


# 3
VASP calculation (GGA-PBE) on a relaxed ScHgIr2 crystal.

Cell: 3.920 4.139 4.139 Å, 90.00 90.00 90.00°
Fractional positions:
Hg (0.500, 0.000, 0.500)
Ir (0.000, 0.000, 0.000)
Ir (0.000, 0.500, 0.500)
Sc (0.500, 0.500, 0.000)

Summary:
As for the symmetry: P4/mmm. For the energy relative to the elements, the calculation gives -0.34 eV/atom. As for the density of states at the Fermi level: 0.89 states/eV/atom.


# 4
VASP calculation (GGA-PBE) on a relaxed LaCd2ReN4 crystal.

Cell: 5.152 5.152 6.411 Å, 113.69 113.69 90.01°
Fractional positions:
La (0.000, 0.000, 0.000)
Cd (0.750, 0.250, 0.500)
Cd (0.250, 0.750, 0.500)
Re (0.500, 0.500, 0.000)
N (0.599, 0.599, 0.787)
N (0.401, 0.812, 0.213)
N (0.812, 0.401, 0.213)
N (0.188, 0.188, 0.787)

Summary:
As for the symmetry: I-42m. Its uncorrected formation energy is -0.192 eV/atom. As for the density of states at the Fermi level: 0.37 states/eV/atom.


# 5
VASP calculation (GGA-PBE) on a relaxed Pm4Sc crystal.

Cell: 5.676 5.676 5.676 Å, 90.00 90.00 90.00°
Fractional positions:
Sc (0.500, 0.500, 0.500)
Pm (0.000, 0.000, 0.000)
Pm (0.500, 0.000, 0.500)
Pm (0.000, 0.500, 0.500)
Pm (0.500, 0.500, 0.000)

Summary:
As for the symmetry: Pm-3m. For the energy relative to the elements, the calculation gives 0.56 eV/atom. As for the density of states at the Fermi level: 1.62 states/eV/atom. The value obtained for the relative energy among the computed polymorphs is 0.518 eV/atom.


# 6
VASP calculation (GGA-PBE) on a relaxed PrHo6Sc3 crystal.

Cell: 9.605 9.605 6.699 Å, 44.20 44.20 60.00°
Fractional positions:
Pr (0.900, 0.900, 0.300)
Ho (0.900, 0.558, 0.300)
Ho (0.242, 0.900, 0.300)
Ho (0.558, 0.242, 0.300)
Ho (0.065, 0.400, 0.800)
Ho (0.735, 0.065, 0.800)
Ho (0.400, 0.735, 0.800)
Sc (0.400, 0.400, 0.801)
Sc (0.639, 0.639, 0.082)
Sc (0.160, 0.160, 0.520)

Summary:
As for the symmetry: R32. For the energy relative to the elements, the calculation gives 0.19 eV/atom. As for the density of states at the Fermi level: 1.82 states/eV/atom. The value obtained for the relative energy among the computed polymorphs is 0.029 eV/atom.


Number 1: spin magnetization 0.00 μB per formula unit. Number 2: spin magnetization 6.36 μB per formula unit. Number 3: spin magnetization 0.00 μB per formula unit. Number 4: spin magnetization 0.00 μB per formula unit. Number 5: spin magnetization 0.56 μB per formula unit. Number 6: spin magnetization 0.83 μB per formula unit.